# 1
! TaAsRu2 SCAN single point on PBEsol structure; values from VASP
&SYSTEM
  ibrav = 0, nat = 4, ntyp = 3
/
ATOMIC_SPECIES
Ta 180.95 Ta.upf
As 74.92 As.upf
Ru 101.07 Ru.upf
ATOMIC_POSITIONS angstrom
Ta 0.000 0.000 0.000
As 2.067 2.067 0.000
Ru 0.000 2.067 1.719
Ru 2.067 0.000 1.719
CELL_PARAMETERS angstrom
4.134 0.000 0.000
0.000 4.134 0.000
0.000 0.000 3.438
! Energy of formation from the pure elements in eV/atom: -0.190
! Theoretical density in g/cm³: 12.95
! Total magnetization in μB per formula unit: 0.0
! VASP energy in eV per atom: -39.297
! Symmetry: No. 123

=====

# 2
! TaAsRu2 SCAN single point on PBEsol structure; values from VASP
&SYSTEM
  ibrav = 0, nat = 4, ntyp = 3
/
ATOMIC_SPECIES
Ta 180.95 Ta.upf
As 74.92 As.upf
Ru 101.07 Ru.upf
ATOMIC_POSITIONS angstrom
Ta 0.000 0.000 0.000
As 0.000 0.000 3.626
Ru 2.005 0.000 1.813
Ru 0.000 2.005 1.813
CELL_PARAMETERS angstrom
-2.005 2.005 3.626
2.005 -2.005 3.626
2.005 2.005 -3.626
! Energy of formation from the pure elements in eV/atom: -0.271
! Theoretical density in g/cm³: 13.05
! Total magnetization in μB per formula unit: 0.0
! VASP energy in eV per atom: -39.378
! Symmetry: No. 139

=====

# 3
! Ta3AsRu SCAN single point on PBEsol structure; values from VASP
&SYSTEM
  ibrav = 0, nat = 5, ntyp = 3
/
ATOMIC_SPECIES
Ta 180.95 Ta.upf
As 74.92 As.upf
Ru 101.07 Ru.upf
ATOMIC_POSITIONS angstrom
Ta 0.000 0.000 2.369
Ta 0.000 2.369 0.000
Ta 2.369 0.000 0.000
As 2.369 2.369 2.369
Ru 0.000 0.000 0.000
CELL_PARAMETERS angstrom
4.737 0.000 0.000
0.000 4.737 0.000
0.000 0.000 4.737
! Energy of formation from the pure elements in eV/atom: 1.100
! Theoretical density in g/cm³: 11.23
! Total magnetization in μB per formula unit: 0.0
! VASP energy in eV per atom: -49.853
! Symmetry: No. 221

=====

# 4
! Ta2TiAsRu SCAN single point on PBEsol structure; values from VASP
&SYSTEM
  ibrav = 0, nat = 5, ntyp = 4
/
ATOMIC_SPECIES
Ta 180.95 Ta.upf
Ti 47.87 Ti.upf
As 74.92 As.upf
Ru 101.07 Ru.upf
ATOMIC_POSITIONS angstrom
Ta 0.000 2.318 0.000
Ta 2.318 0.000 0.000
Ti 0.000 0.000 2.225
As 0.000 0.000 0.000
Ru 2.318 2.318 2.225
CELL_PARAMETERS angstrom
4.636 0.000 0.000
0.000 4.636 0.000
0.000 0.000 4.450
! Energy of formation from the pure elements in eV/atom: 0.877
! Theoretical density in g/cm³: 10.17
! Total magnetization in μB per formula unit: 0.0
! VASP energy in eV per atom: -39.966
! Symmetry: No. 123

=====

# 5
! TcAsRu2 SCAN single point on PBEsol structure; values from VASP
&SYSTEM
  ibrav = 0, nat = 4, ntyp = 3
/
ATOMIC_SPECIES
Tc 98.00 Tc.upf
As 74.92 As.upf
Ru 101.07 Ru.upf
ATOMIC_POSITIONS angstrom
Tc 0.000 0.000 0.000
As 1.407 1.899 1.584
Ru 0.000 0.000 2.586
Ru 1.407 1.899 4.239
CELL_PARAMETERS angstrom
2.814 0.000 0.000
0.000 3.798 0.000
0.000 0.000 5.240
! Energy of formation from the pure elements in eV/atom: 0.135
! Theoretical density in g/cm³: 11.12
! Total magnetization in μB per formula unit: 0.0
! VASP energy in eV per atom: -31.091
! Symmetry: No. 25

=====

# 6
! Tc2AsRu SCAN single point on PBEsol structure; values from VASP
&SYSTEM
  ibrav = 0, nat = 4, ntyp = 3
/
ATOMIC_SPECIES
Tc 98.00 Tc.upf
As 74.92 As.upf
Ru 101.07 Ru.upf
ATOMIC_POSITIONS angstrom
Tc 0.000 0.000 0.000
Tc 1.517 1.517 1.517
As 3.033 3.033 3.033
Ru 4.550 4.550 4.550
CELL_PARAMETERS angstrom
0.000 3.033 3.033
3.033 0.000 3.033
3.033 3.033 0.000
! Energy of formation from the pure elements in eV/atom: 0.186
! Theoretical density in g/cm³: 11.06
! Total magnetization in μB per formula unit: 0.0
! VASP energy in eV per atom: -31.098
! Symmetry: No. 216

=====

# 7
! Tc2AsRu SCAN single point on PBEsol structure; values from VASP
&SYSTEM
  ibrav = 0, nat = 4, ntyp = 3
/
ATOMIC_SPECIES
Tc 98.00 Tc.upf
As 74.92 As.upf
Ru 101.07 Ru.upf
ATOMIC_POSITIONS angstrom
Tc 0.000 0.000 0.000
Tc 0.000 0.000 6.188
As 0.000 0.000 18.631
Ru 0.000 0.000 12.326
CELL_PARAMETERS angstrom
1.398 0.807 8.283
-1.398 0.807 8.283
0.000 -1.614 8.283
! Energy of formation from the pure elements in eV/atom: 0.054
! Theoretical density in g/cm³: 11.02
! Total magnetization in μB per formula unit: 0.0
! VASP energy in eV per atom: -31.230
! Symmetry: No. 160

=====

# 8
! TcAsRu2 SCAN single point on PBEsol structure; values from VASP
&SYSTEM
  ibrav = 0, nat = 4, ntyp = 3
/
ATOMIC_SPECIES
Tc 98.00 Tc.upf
As 74.92 As.upf
Ru 101.07 Ru.upf
ATOMIC_POSITIONS angstrom
Tc 0.000 0.000 0.000
As 2.218 2.218 0.000
Ru 0.000 2.218 1.420
Ru 2.218 0.000 1.420
CELL_PARAMETERS angstrom
4.436 0.000 0.000
0.000 4.436 0.000
0.000 0.000 2.840
! Energy of formation from the pure elements in eV/atom: 0.254
! Theoretical density in g/cm³: 11.15
! Total magnetization in μB per formula unit: 2.0
! VASP energy in eV per atom: -30.972
! Symmetry: No. 123

=====

# 9
! TeAsRu SCAN single point on PBEsol structure; values from VASP
&SYSTEM
  ibrav = 0, nat = 12, ntyp = 3
/
ATOMIC_SPECIES
Te 127.60 Te.upf
As 74.92 As.upf
Ru 101.07 Ru.upf
ATOMIC_POSITIONS angstrom
Te 0.040 0.792 2.156
Te -1.249 2.349 5.086
Te 5.010 3.933 0.774
Te 3.721 5.490 3.704
As 0.510 4.055 3.925
As 1.799 5.368 0.996
As 1.962 0.914 4.864
As 3.251 2.227 1.934
Ru 1.040 3.191 1.730
Ru -0.249 6.232 4.659
Ru 4.010 0.050 1.200
Ru 2.721 3.091 4.130
CELL_PARAMETERS angstrom
6.339 0.000 0.000
0.000 6.282 0.000
-2.578 0.000 5.860
! Energy relative to the elements, uncorrected in meV per atom: -520
! Theoretical density in g/cm³: 8.64
! Total magnetization in μB per formula unit: 0.0
! VASP energy in eV per atom: -31.276
! Symmetry: No. 14

=====

# 10
! TeAs4Ru SCAN single point on PBEsol structure; values from VASP
&SYSTEM
  ibrav = 0, nat = 6, ntyp = 3
/
ATOMIC_SPECIES
Te 127.60 Te.upf
As 74.92 As.upf
Ru 101.07 Ru.upf
ATOMIC_POSITIONS angstrom
Te 0.000 0.000 0.000
As 2.887 2.887 2.887
As 4.816 4.816 2.887
As 4.816 2.887 4.816
As 2.887 4.816 4.816
Ru 5.777 5.777 5.777
CELL_PARAMETERS angstrom
0.000 3.852 3.852
3.852 0.000 3.852
3.852 3.852 0.000
! Energy relative to the elements, uncorrected in meV per atom: 886
! Theoretical density in g/cm³: 7.68
! Total magnetization in μB per formula unit: 2.0
! VASP energy in eV per atom: -24.588
! Symmetry: No. 216

=====

# 11
! TeAs2Ru SCAN single point on PBEsol structure; values from VASP
&SYSTEM
  ibrav = 0, nat = 4, ntyp = 3
/
ATOMIC_SPECIES
Te 127.60 Te.upf
As 74.92 As.upf
Ru 101.07 Ru.upf
ATOMIC_POSITIONS angstrom
Te 0.000 0.000 0.000
As 1.545 0.000 3.383
As 0.000 0.000 7.457
Ru 0.000 2.176 3.603
CELL_PARAMETERS angstrom
-1.545 2.176 5.845
1.545 -2.176 5.845
1.545 2.176 -5.845
! Energy relative to the elements, uncorrected in meV per atom: 157
! Theoretical density in g/cm³: 8.00
! Total magnetization in μB per formula unit: 0.0
! VASP energy in eV per atom: -27.957
! Symmetry: No. 44

=====

# 12
! TeAsRu SCAN single point on PBEsol structure; values from VASP
&SYSTEM
  ibrav = 0, nat = 3, ntyp = 3
/
ATOMIC_SPECIES
Te 127.60 Te.upf
As 74.92 As.upf
Ru 101.07 Ru.upf
ATOMIC_POSITIONS angstrom
Te 0.000 0.000 0.000
As 0.000 2.064 2.985
Ru 1.787 1.032 1.672
CELL_PARAMETERS angstrom
3.575 0.000 0.000
-1.787 3.096 0.000
0.000 0.000 5.395
! Energy relative to the elements, uncorrected in meV per atom: -28
! Theoretical density in g/cm³: 8.44
! Total magnetization in μB per formula unit: 0.0
! VASP energy in eV per atom: -30.784
! Symmetry: No. 156

=====

# 13
! TeAsRu SCAN single point on PBEsol structure; values from VASP
&SYSTEM
  ibrav = 0, nat = 3, ntyp = 3
/
ATOMIC_SPECIES
Te 127.60 Te.upf
As 74.92 As.upf
Ru 101.07 Ru.upf
ATOMIC_POSITIONS angstrom
Te 0.000 0.000 0.000
As 3.081 3.081 3.081
Ru 1.541 1.541 1.541
CELL_PARAMETERS angstrom
0.000 3.081 3.081
3.081 0.000 3.081
3.081 3.081 0.000
! Energy relative to the elements, uncorrected in meV per atom: -156
! Theoretical density in g/cm³: 8.62
! Total magnetization in μB per formula unit: 0.0
! VASP energy in eV per atom: -30.912
! Symmetry: No. 216

=====

# 14
! TeAs2Ru SCAN single point on PBEsol structure; values from VASP
&SYSTEM
  ibrav = 0, nat = 4, ntyp = 3
/
ATOMIC_SPECIES
Te 127.60 Te.upf
As 74.92 As.upf
Ru 101.07 Ru.upf
ATOMIC_POSITIONS angstrom
Te 0.000 0.000 0.000
As 0.000 0.000 4.066
As 1.642 1.642 2.754
Ru 1.642 1.642 5.507
CELL_PARAMETERS angstrom
3.285 0.000 0.000
0.000 3.285 0.000
0.000 0.000 7.045
! Energy relative to the elements, uncorrected in meV per atom: 186
! Theoretical density in g/cm³: 8.27
! Total magnetization in μB per formula unit: 0.5
! VASP energy in eV per atom: -27.928
! Symmetry: No. 99